No. 1
Compound: AlZnIN2
Source: Alexandria via LeMat-Bulk
Functional: PBE
Structure: optimized geometry

Formation energy without anion corrections   7.41 eV/f.u.
Crystal system   tetragonal
Total moment   3.6 μB per formula unit

a b c (Å): 4.1616 4.1616 5.9703
angles (deg): 90.00 90.00 90.00
Site moments in Bohr magnetons follow the coordinates.
Atoms (fractional coordinates):
I 0.0000 0.0000 0.5000  0.10
Zn 0.0000 0.0000 0.0000  0.05
Al 0.5000 0.5000 0.5000  0.03
N 0.0000 0.5000 0.0000  1.17
N 0.5000 0.0000 0.0000  1.17

No. 2
Compound: ZnIn2As
Source: Alexandria via LeMat-Bulk
Functional: PBE
Structure: optimized geometry

Crystal system   monoclinic
Total moment   0.0 μB per formula unit

a b c (Å): 4.1077 4.1077 7.0293
angles (deg): 72.25 72.25 60.75
Atoms (fractional coordinates):
As 0.2500 0.2500 0.2500
In 0.9985 0.9985 0.0090
In 0.5015 0.5015 0.4910
Zn 0.7500 0.7500 0.7500

Offset from the most stable computed form / meV per atom: 759, 0